Crystalline Er4Ag3Hg at its relaxed geometry. Source: Alexandria via LeMat-Bulk, functional PBE-GGA.

Unit cell a=3.6409 b=4.8259 c=11.1480 alpha=90.00 beta=90.00 gamma=90.00
Sites, in units of the cell vectors:
Er 0.0000 0.5000 0.8494
Er 0.5000 0.0000 0.6423
Er 0.5000 0.5000 0.3599
Er 0.0000 0.0000 0.1481
Ag 0.5000 0.0000 0.9164
Ag 0.0000 0.0000 0.4206
Ag 0.0000 0.5000 0.5803
Hg 0.5000 0.5000 0.0831

## Properties
The density is 10.12 g/cm³. As for the calculated formation energy: -0.3253 eV/atom. The value obtained for the density of states at the Fermi level is 0.89 states/eV/atom. The value obtained for the energy above the most stable polymorph in this dataset is 44 meV/atom. For the total moment, the calculation gives 0.00 μB per formula unit. As for the final energy: -29.7 eV per cell.

---

Crystalline InHNF2 at its relaxed geometry. Source: Alexandria via LeMat-Bulk, functional PBE-GGA.

Unit cell a=4.3065 b=4.3065 c=4.3902 alpha=90.00 beta=90.00 gamma=90.00
Sites, in units of the cell vectors:
N 0.0000 0.0000 0.5000
In 0.0000 0.0000 0.0000
F 0.5000 0.0000 0.0000
F 0.0000 0.5000 0.0000
H 0.5000 0.5000 0.5000

## Properties
The density is 3.42 g/cm³. The value obtained for the energy above the most stable polymorph in this dataset is 37 meV/atom. For the total moment, the calculation gives 3.00 μB per formula unit. As for the final energy: -19.0 eV per cell.

---

Repeat the second record exactly.
Crystalline InHNF2 at its relaxed geometry. Source: Alexandria via LeMat-Bulk, functional PBE-GGA.

Unit cell a=4.3065 b=4.3065 c=4.3902 alpha=90.00 beta=90.00 gamma=90.00
Sites, in units of the cell vectors:
N 0.0000 0.0000 0.5000
In 0.0000 0.0000 0.0000
F 0.5000 0.0000 0.0000
F 0.0000 0.5000 0.0000
H 0.5000 0.5000 0.5000

## Properties
The density is 3.42 g/cm³. The value obtained for the energy above the most stable polymorph in this dataset is 37 meV/atom. For the total moment, the calculation gives 3.00 μB per formula unit. As for the final energy: -19.0 eV per cell.